No. 1
Below is ZnNiTe2I after structural relaxation, with properties calculated at the PBE-GGA level.

The calculation puts the energy relative to the lowest polymorph listed for this composition at 0.000 eV/f.u. For the formation energy without anion corrections, the calculation gives 0.37 eV per atom.

The structure belongs to space group P4/mmm (No. 123); the cell edges are 5.104, 5.104 and 5.325 Å and the angles 90.00°, 90.00° and 90.00°. Symmetry generates all atoms from Zn at (0.000, 0.000, 0.000), Ni at (0.500, 0.500, 0.500), Te at (0.000, 0.500, 0.500) and I at (0.500, 0.500, 0.000).


No. 2
Below is Th4NiI5 after structural relaxation, with properties calculated at the PBE-GGA level.

For the formation energy without anion corrections, the calculation gives -0.85 eV per atom.

The structure belongs to space group C2/m (No. 12); the cell edges are 18.644, 3.996 and 9.360 Å and the angles 90.00°, 99.04° and 90.00°. Symmetry generates all atoms from Th at (0.001, 0.000, 0.196), Th at (0.164, 0.500, 0.052), Ni at (0.000, 0.500, 0.000), I at (0.000, 0.500, 0.500), I at (0.168, 0.000, 0.779) and I at (0.169, 0.000, 0.329).


No. 3
Below is Th2NiI2 after structural relaxation, with properties calculated at the PBE-GGA level.

For the formation energy without anion corrections, the calculation gives -0.80 eV per atom.

The structure belongs to space group R-3m (No. 166, hexagonal axes); the cell edges are 4.1760, 4.1760 and 34.9146 Å and the angles 90.00°, 90.00° and 120.00°. Symmetry generates all atoms from Th at (0.0000, 0.0000, 0.1243), Ni at (0.0000, 0.0000, 0.5000) and I at (0.0000, 0.0000, 0.2750).


No. 4
Below is ThNiI2 after structural relaxation, with properties calculated at the PBE-GGA level.

For the formation energy without anion corrections, the calculation gives 0.08 eV per atom.

The structure belongs to space group R-3m (No. 166, hexagonal axes); the cell edges are 3.8379, 3.8379 and 28.1188 Å and the angles 90.00°, 90.00° and 120.00°. Symmetry generates all atoms from Th at (0.0000, 0.0000, 0.0000), Ni at (0.0000, 0.0000, 0.5000) and I at (0.0000, 0.0000, 0.1113).


No. 5
Below is Th7NiI12 after structural relaxation, with properties calculated at the PBE-GGA level.

For the formation energy without anion corrections, the calculation gives -0.94 eV per atom.

The structure belongs to space group R-3 (No. 148, hexagonal axes); the cell edges are 16.4226, 16.4226 and 9.9160 Å and the angles 90.00°, 90.00° and 120.00°. Symmetry generates all atoms from Th at (0.0000, 0.0000, 0.0000), Th at (0.0403, 0.1481, 0.3300), Ni at (0.0000, 0.0000, 0.5000), I at (0.0315, 0.5883, 0.1622) and I at (0.0534, 0.1969, 0.8517).


No. 6
Below is TiNi2I after structural relaxation, with properties calculated at the PBE-GGA level.

The calculation puts the energy relative to the lowest polymorph listed for this composition at 0.371 eV/f.u. For the formation energy without anion corrections, the calculation gives 0.42 eV per atom.

The structure belongs to space group Fm-3m (No. 225); the cell edges are 6.328, 6.328 and 6.328 Å and the angles 90.00°, 90.00° and 90.00°. Symmetry generates all atoms from Ti at (0.000, 0.000, 0.000), Ni at (0.250, 0.250, 0.250) and I at (0.000, 0.000, 0.500).


No. 7
Below is TiNi2I after structural relaxation, with properties calculated at the PBE-GGA level.

The calculation puts the energy relative to the lowest polymorph listed for this composition at 0.000 eV/f.u. For the formation energy without anion corrections, the calculation gives 0.33 eV per atom.

The structure belongs to space group I-42d (No. 122); the cell edges are 7.042, 7.042 and 5.340 Å and the angles 90.00°, 90.00° and 90.00°. Symmetry generates all atoms from Ti at (0.000, 0.000, 0.000), Ni at (0.250, 0.250, 0.125) and I at (0.000, 0.000, 0.500).


No. 8
Below is Ti3NiI after structural relaxation, with properties calculated at the PBE-GGA level.

The calculation puts the energy relative to the lowest polymorph listed for this composition at 0.000 eV/f.u. For the formation energy without anion corrections, the calculation gives 0.35 eV per atom.

The structure belongs to space group Pm-3m (No. 221); the cell edges are 4.642, 4.642 and 4.642 Å and the angles 90.00°, 90.00° and 90.00°. Symmetry generates all atoms from Ti at (0.000, 0.000, 0.500), Ni at (0.000, 0.000, 0.000) and I at (0.500, 0.500, 0.500).


No. 9
Below is Ti3NiI after structural relaxation, with properties calculated at the PBE-GGA level.

The calculation puts the energy relative to the lowest polymorph listed for this composition at 5.003 eV/f.u. For the formation energy without anion corrections, the calculation gives 1.35 eV per atom.

The structure belongs to space group Pm-3m (No. 221); the cell edges are 4.903, 4.903 and 4.903 Å and the angles 90.00°, 90.00° and 90.00°. Symmetry generates all atoms from Ti at (0.000, 0.000, 0.500), Ni at (0.500, 0.500, 0.500) and I at (0.000, 0.000, 0.000).


No. 10
Below is TiNiI after structural relaxation, with properties calculated at the PBE-GGA level.

For the formation energy without anion corrections, the calculation gives 0.17 eV per atom.

The structure belongs to space group Amm2 (No. 38); the cell edges are 10.776, 3.547 and 6.144 Å and the angles 90.00°, 90.00° and 90.00°. Symmetry generates all atoms from Ti at (0.137, 0.000, 0.000), Ni at (0.000, 0.000, 0.333), Ni at (0.500, 0.000, 0.017) and I at (0.327, 0.000, 0.336).


No. 11
Below is TiTl2NiI after structural relaxation, with properties calculated at the PBE-GGA level.

For the formation energy without anion corrections, the calculation gives 0.26 eV per atom.

The structure belongs to space group P4/mmm (No. 123); the cell edges are 5.228, 5.228 and 4.781 Å and the angles 90.00°, 90.00° and 90.00°. Symmetry generates all atoms from Ti at (0.000, 0.000, 0.000), Tl at (0.000, 0.500, 0.500), Ni at (0.000, 0.000, 0.500) and I at (0.500, 0.500, 0.000).


No. 12
Below is TiNiWI2 after structural relaxation, with properties calculated at the PBE-GGA level.

For the formation energy without anion corrections, the calculation gives 1.44 eV per atom.

The structure belongs to space group P4/mmm (No. 123); the cell edges are 5.024, 5.024 and 4.600 Å and the angles 90.00°, 90.00° and 90.00°. Symmetry generates all atoms from Ti at (0.000, 0.000, 0.000), Ni at (0.000, 0.000, 0.500), W at (0.500, 0.500, 0.000) and I at (0.000, 0.500, 0.500).


No. 13
Below is Y2TiNiI after structural relaxation, with properties calculated at the PBE-GGA level.

For the formation energy without anion corrections, the calculation gives 0.68 eV per atom.

The structure belongs to space group P4/mmm (No. 123); the cell edges are 5.643, 5.643 and 4.533 Å and the angles 90.00°, 90.00° and 90.00°. Symmetry generates all atoms from Y at (0.000, 0.500, 0.000), Ti at (0.000, 0.000, 0.500), Ni at (0.500, 0.500, 0.500) and I at (0.500, 0.500, 0.000).


No. 14
Below is Tl2NiI after structural relaxation, with properties calculated at the PBE-GGA level.

The calculation puts the energy relative to the lowest polymorph listed for this composition at 1.273 eV/f.u. For the formation energy without anion corrections, the calculation gives 0.47 eV per atom.

The structure belongs to space group Fm-3m (No. 225); the cell edges are 7.922, 7.922 and 7.922 Å and the angles 90.00°, 90.00° and 90.00°. Symmetry generates all atoms from Tl at (0.250, 0.250, 0.250), Ni at (0.000, 0.000, 0.000) and I at (0.000, 0.000, 0.500).


No. 15
Below is Tl3Ni5I12 after structural relaxation, with properties calculated at the PBE-GGA level.

For the formation energy without anion corrections, the calculation gives -0.17 eV per atom.

The structure belongs to space group Ia-3d (No. 230); the cell edges are 17.644, 17.644 and 17.644 Å and the angles 90.00°, 90.00° and 90.00°. Symmetry generates all atoms from Tl at (0.000, 0.250, 0.125), Ni at (0.000, 0.000, 0.000), Ni at (0.000, 0.250, 0.375) and I at (0.036, 0.046, 0.645).


No. 16
Below is TlNiI4 after structural relaxation, with properties calculated at the PBE-GGA level.

The calculation puts the energy relative to the lowest polymorph listed for this composition at 0.016 eV/f.u. For the formation energy without anion corrections, the calculation gives -0.17 eV per atom.

The structure belongs to space group P2/m (No. 10); the cell edges are 7.789, 4.144 and 7.832 Å and the angles 90.00°, 107.75° and 90.00°. Symmetry generates all atoms from Tl at (0.000, 0.000, 0.000), Ni at (0.000, 0.500, 0.500), I at (0.210, 0.000, 0.697) and I at (0.232, 0.500, 0.296).


No. 17
Below is Tl2NiI after structural relaxation, with properties calculated at the PBE-GGA level.

The calculation puts the energy relative to the lowest polymorph listed for this composition at 0.000 eV/f.u. For the formation energy without anion corrections, the calculation gives 0.15 eV per atom.

The structure belongs to space group I-42d (No. 122); the cell edges are 6.562, 6.562 and 13.976 Å and the angles 90.00°, 90.00° and 90.00°. Symmetry generates all atoms from Tl at (0.131, 0.250, 0.125), Ni at (0.000, 0.000, 0.000) and I at (0.000, 0.000, 0.500).


No. 18
Below is Tl2NiI5 after structural relaxation, with properties calculated at the PBE-GGA level.

The calculation puts the energy relative to the lowest polymorph listed for this composition at 0.245 eV/f.u. For the formation energy without anion corrections, the calculation gives -0.30 eV per atom.

The structure belongs to space group P1 (No. 1); the cell edges are 6.280, 7.498 and 8.542 Å and the angles 65.58°, 81.92° and 66.09°. Symmetry generates all atoms from Tl at (0.000, 0.000, 0.000), Tl at (0.424, 0.959, 0.587), Ni at (0.736, 0.478, 0.296), I at (0.175, 0.481, 0.299), I at (0.528, 0.883, 0.189), I at (0.647, 0.440, 0.614), I at (0.763, 0.515, 0.979) and I at (0.894, 0.073, 0.401).


No. 19
Below is Tl2NiI5 after structural relaxation, with properties calculated at the PBE-GGA level.

The calculation puts the energy relative to the lowest polymorph listed for this composition at 0.000 eV/f.u. For the formation energy without anion corrections, the calculation gives -0.33 eV per atom.

The structure belongs to space group I4mm (No. 107); the cell edges are 8.314, 8.314 and 9.262 Å and the angles 90.00°, 90.00° and 90.00°. Symmetry generates all atoms from Tl at (0.000, 0.500, 0.000), Ni at (0.000, 0.000, 0.275), I at (0.000, 0.000, 0.558) and I at (0.218, 0.218, 0.235).


No. 20
Below is TlNi3I after structural relaxation, with properties calculated at the PBE-GGA level.

The calculation puts the energy relative to the lowest polymorph listed for this composition at 0.000 eV/f.u. For the formation energy without anion corrections, the calculation gives 0.81 eV per atom.

The structure belongs to space group Pm-3m (No. 221); the cell edges are 4.719, 4.719 and 4.719 Å and the angles 90.00°, 90.00° and 90.00°. Symmetry generates all atoms from Tl at (0.000, 0.000, 0.000), Ni at (0.000, 0.500, 0.500) and I at (0.500, 0.500, 0.500).


No. 21
Below is TlNiI3 after structural relaxation, with properties calculated at the PBE-GGA level.

The calculation puts the energy relative to the lowest polymorph listed for this composition at 0.208 eV/f.u. For the formation energy without anion corrections, the calculation gives -0.21 eV per atom.

The structure belongs to space group Pm-3m (No. 221); the cell edges are 5.436, 5.436 and 5.436 Å and the angles 90.00°, 90.00° and 90.00°. Symmetry generates all atoms from Tl at (0.000, 0.000, 0.000), Ni at (0.500, 0.500, 0.500) and I at (0.000, 0.500, 0.500).


No. 22
Below is TlNiI6 after structural relaxation, with properties calculated at the PBE-GGA level.

For the formation energy without anion corrections, the calculation gives -0.10 eV per atom.

The structure belongs to space group C2/m (No. 12); the cell edges are 11.820, 9.717 and 7.503 Å and the angles 90.00°, 126.42° and 90.00°. Symmetry generates all atoms from Tl at (0.000, 0.000, 0.000), Ni at (0.000, 0.500, 0.500), I at (0.108, 0.303, 0.824) and I at (0.198, 0.500, 0.457).


No. 23
Below is TlNiI3 after structural relaxation, with properties calculated at the PBE-GGA level.

The calculation puts the energy relative to the lowest polymorph listed for this composition at 4.496 eV/f.u. For the formation energy without anion corrections, the calculation gives 0.65 eV per atom.

The structure belongs to space group Pm-3m (No. 221); the cell edges are 6.082, 6.082 and 6.082 Å and the angles 90.00°, 90.00° and 90.00°. Symmetry generates all atoms from Tl at (0.000, 0.000, 0.000), Ni at (0.500, 0.500, 0.500) and I at (0.000, 0.000, 0.500).